# 1
Compound: Mg6Cu7
Source: Alexandria via LeMat-Bulk
Functional: PBE-GGA
Structure: optimized geometry

Computed properties:
Formation enthalpy at 0 K: -113 meV/atom
Fermi-level density of states: 7.88 states/eV per cell

Unit cell a=9.4468 b=9.4468 c=9.4468 alpha=31.35 beta=31.35 gamma=31.35
Closest atoms and distances in Å follow each position.
Fractional coordinates of all 13 atoms:
Mg 0.0523 0.0523 0.0523  6 Cu 2.75, 2 Mg 2.79-2.82
Mg 0.9477 0.9477 0.9477  6 Cu 2.75, 2 Mg 2.79-2.82
Mg 0.1559 0.1559 0.1559  6 Cu 2.77-2.96, 4 Mg 2.79-3.00
Mg 0.8441 0.8441 0.8441  6 Cu 2.77-2.96, 4 Mg 2.79-3.00
Mg 0.3328 0.3328 0.3328  6 Cu 2.83-2.86, 3 Mg 2.95
Mg 0.6672 0.6672 0.6672  6 Cu 2.83-2.86, 3 Mg 2.95
Cu 0.5906 0.5906 0.0899  5 Cu 2.53-2.56, 4 Mg 2.75-2.83
Cu 0.0899 0.5906 0.5906  5 Cu 2.53-2.56, 4 Mg 2.75-2.83
Cu 0.5906 0.0899 0.5906  5 Cu 2.53-2.56, 4 Mg 2.75-2.83
Cu 0.4094 0.4094 0.9101  5 Cu 2.53-2.56, 4 Mg 2.75-2.83
Cu 0.4094 0.9101 0.4094  5 Cu 2.53-2.56, 4 Mg 2.75-2.83
Cu 0.9101 0.4094 0.4094  5 Cu 2.53-2.56, 4 Mg 2.75-2.83
Cu 0.5000 0.5000 0.5000  6 Cu 2.53

# 2
Compound: Mg2Cu
Source: Alexandria via LeMat-Bulk
Functional: PBE-GGA
Structure: optimized geometry

Computed properties:
Formation enthalpy at 0 K: 52 meV/atom
Fermi-level density of states: 1.73 states/eV per cell

Unit cell a=4.4410 b=4.4410 c=4.4410 alpha=60.00 beta=60.00 gamma=60.00
Closest atoms and distances in Å follow each position.
Fractional coordinates of all 3 atoms:
Cu 0.0000 0.0000 0.0000  8 Mg 2.72
Mg 0.7500 0.7500 0.7500  4 Cu 2.72
Mg 0.2500 0.2500 0.2500  4 Cu 2.72

# 3
Compound: Mg2Cu
Source: Alexandria via LeMat-Bulk
Functional: PBE-GGA
Structure: optimized geometry

Computed properties:
Formation enthalpy at 0 K: 390 meV/atom
Fermi-level density of states: 3.83 states/eV per cell

Unit cell a=5.4968 b=5.4968 c=5.4968 alpha=60.00 beta=60.00 gamma=60.00
Closest atoms and distances in Å follow each position.
Fractional coordinates of all 6 atoms:
Mg 0.1250 0.6250 0.1250  6 Mg 2.75
Mg 0.1250 0.1250 0.6250  6 Mg 2.75
Mg 0.6250 0.1250 0.1250  6 Mg 2.75
Mg 0.1250 0.1250 0.1250  6 Mg 2.75
Cu 0.7500 0.7500 0.7500  12 Mg 3.22, 4 Cu 3.37
Cu 0.5000 0.5000 0.5000  12 Mg 3.22, 4 Cu 3.37

# 4
Compound: MgCu
Source: Alexandria via LeMat-Bulk
Functional: PBE-GGA
Structure: optimized geometry

Computed properties:
Formation enthalpy at 0 K: -46 meV/atom
Fermi-level density of states: 6.90 states/eV per cell

Unit cell a=5.3761 b=7.9485 c=9.0899 alpha=90.00 beta=90.00 gamma=90.00
Closest atoms and distances in Å follow each position.
Fractional coordinates of all 24 atoms:
Cu 0.2500 0.1285 0.1330  2 Cu 2.52, 7 Mg 2.66-2.79
Cu 0.7500 0.8715 0.8670  2 Cu 2.52, 7 Mg 2.66-2.79
Cu 0.2500 0.6285 0.8670  2 Cu 2.52, 7 Mg 2.66-2.79
Cu 0.7500 0.3715 0.1330  2 Cu 2.52, 7 Mg 2.66-2.79
Cu 0.2500 0.5471 0.4225  9 Mg 2.72-2.92
Cu 0.7500 0.4529 0.5775  9 Mg 2.72-2.92
Cu 0.2500 0.0471 0.5775  9 Mg 2.72-2.92
Cu 0.7500 0.9529 0.4225  9 Mg 2.72-2.92
Cu 0.0000 0.7500 0.0760  4 Cu 2.52-2.69, 4 Mg 2.69-2.77
Cu 0.5000 0.2500 0.9240  4 Cu 2.52-2.69, 4 Mg 2.69-2.77
Cu 0.0000 0.2500 0.9240  4 Cu 2.52-2.69, 4 Mg 2.69-2.77
Cu 0.5000 0.7500 0.0760  4 Cu 2.52-2.69, 4 Mg 2.69-2.77
Mg 0.2500 0.4630 0.1262  9 Cu 2.66-2.84
Mg 0.7500 0.5370 0.8738  9 Cu 2.66-2.84
Mg 0.2500 0.9630 0.8738  9 Cu 2.66-2.84
Mg 0.7500 0.0370 0.1262  9 Cu 2.66-2.84
Mg 0.2500 0.8717 0.3208  7 Cu 2.66-2.92
Mg 0.7500 0.1283 0.6792  7 Cu 2.66-2.92
Mg 0.2500 0.3717 0.6792  7 Cu 2.66-2.92
Mg 0.7500 0.6283 0.3208  7 Cu 2.66-2.92
Mg 0.0000 0.7500 0.6211  2 Mg 2.69, 6 Cu 2.75-2.78
Mg 0.5000 0.2500 0.3789  2 Mg 2.69, 6 Cu 2.75-2.78
Mg 0.0000 0.2500 0.3789  2 Mg 2.69, 6 Cu 2.75-2.78
Mg 0.5000 0.7500 0.6211  2 Mg 2.69, 6 Cu 2.75-2.78